The following is a DFT calculation (PBE) of a relaxed Y4In2Hg crystal.

## Properties
formation energy = -0.36 eV per atom
Fermi-level density of states = 6.57 states/eV/cell
volume = 29.21 Å³ per atom

```
Y4In2Hg
1.0
1.023 1.250 5.003
-2.328 -2.647 3.899
6.033 -6.049 3.039
Y In Hg
4 2 1
direct
0.622 0.622 0.135
0.873 0.873 0.381
0.378 0.378 0.865
0.127 0.127 0.619
0.751 0.751 0.747
0.249 0.249 0.253
0.000 0.000 0.000
```

---

The following is a DFT calculation (PBE) of a relaxed Y2InHg crystal.

## Properties
formation energy = -0.51 eV per atom
Fermi-level density of states = 3.70 states/eV/cell
volume = 26.34 Å³ per atom

```
Y2InHg
1.0
3.744 0.000 0.000
0.000 3.744 0.000
0.000 0.000 7.515
Y In Hg
2 1 1
direct
0.000 0.000 0.495
0.000 0.000 0.005
0.500 0.500 0.750
0.500 0.500 0.250
```